(1)
CuIr2 after structural relaxation. Source: Alexandria via LeMat-Bulk, functional PBE-GGA.

Computed properties:
* energy of formation from the pure elements: 112 meV/atom
* DOS(E_F): 1.01 states/eV per atom
* energy relative to the lowest polymorph listed for this composition: 0.15 eV per formula unit
* electronic total energy: -7.1606 eV/atom
* M_tot: 0.00 μB/cell

Cell and atoms, written as CIF:
```
data_CuIr2
_cell_length_a 2.725
_cell_length_b 2.725
_cell_length_c 11.229
_cell_angle_alpha 90.00
_cell_angle_beta 90.00
_cell_angle_gamma 90.00
_space_group_name_H-M_alt 'I 4/m m m'
_space_group_IT_number 139
_space_group_name_Hall '-I 4 2'
loop_
_atom_site_label
_atom_site_fract_x
_atom_site_fract_y
_atom_site_fract_z
_atom_site_occupancy
Cu1 0.000 0.000 0.000 1
Ir1 0.000 0.000 0.332 1
```

---

(2)
BaLi2Pt after structural relaxation. Source: Alexandria via LeMat-Bulk, functional PBE-GGA.

Computed properties:
* energy of formation from the pure elements: -337 meV/atom
* DOS(E_F): 0.31 states/eV per atom
* energy relative to the lowest polymorph listed for this composition: 0.43 eV per formula unit
* electronic total energy: -3.2845 eV/atom
* M_tot: 0.00 μB/cell

Cell and atoms, written as CIF:
```
data_BaLi2Pt
_cell_length_a 3.815
_cell_length_b 5.148
_cell_length_c 9.802
_cell_angle_alpha 90.00
_cell_angle_beta 90.00
_cell_angle_gamma 90.00
_space_group_name_H-M_alt 'I m m m'
_space_group_IT_number 71
_space_group_name_Hall '-I 2 2'
loop_
_atom_site_label
_atom_site_fract_x
_atom_site_fract_y
_atom_site_fract_z
_atom_site_occupancy
Ba1 0.000 0.000 0.000 1
Li1 0.000 0.500 0.197 1
Pt1 0.000 0.000 0.500 1
```

---

(3)
RhWCl after structural relaxation. Source: Alexandria via LeMat-Bulk, functional PBE-GGA.

Computed properties:
* DOS(E_F): 1.14 states/eV per atom
* energy relative to the lowest polymorph listed for this composition: 3.16 eV per formula unit
* electronic total energy: -6.2146 eV/atom
* E_form (uncorrected): 1.169 eV per atom
* M_tot: 0.00 μB/cell

Cell and atoms, written as CIF:
```
data_RhWCl
_cell_length_a 6.078
_cell_length_b 6.078
_cell_length_c 6.078
_cell_angle_alpha 90.00
_cell_angle_beta 90.00
_cell_angle_gamma 90.00
_space_group_name_H-M_alt 'F -4 3 m'
_space_group_IT_number 216
_space_group_name_Hall 'F -4 2 3'
loop_
_atom_site_label
_atom_site_fract_x
_atom_site_fract_y
_atom_site_fract_z
_atom_site_occupancy
Rh1 0.000 0.000 0.000 1
W1 0.250 0.250 0.250 1
Cl1 0.250 0.250 0.750 1
```